DFT (PBE) results for a relaxed Ti5MoPt4 crystal.

Cell lengths 3.299, 3.299, 14.607 Å; angles 90.00, 90.00, 90.00 degrees
Fractional positions:
Ti  0.000  0.000  0.000
Ti  0.000  0.000  0.197
Ti  0.000  0.000  0.401
Ti  0.000  0.000  0.599
Ti  0.000  0.000  0.803
Mo  0.500  0.500  0.500
Pt  0.500  0.500  0.097
Pt  0.500  0.500  0.293
Pt  0.500  0.500  0.707
Pt  0.500  0.500  0.903

Output
**Mass density**: 11.7 Mg/m³
**E_form**: -0.742 eV/atom
**Magnetization**: 0.00 Bohr magnetons per cell